Tb4Te2SeS | PBE-GGA | relaxed

a = 7.259 Å, b = 4.138 Å, c = 7.367 Å
α = 90.00°, β = 108.85°, γ = 90.00°
Space group P2/m (No. 10)
Symmetry-distinct sites (fractional):
Tb (0.225, 0.000, 0.206) x2
Tb (0.250, 0.500, 0.790) x2
Te (0.000, 0.000, 0.500) x1
Te (0.500, 0.500, 0.500) x1
Se (0.500, 0.000, 0.000) x1
S (0.000, 0.500, 0.000) x1

Computed properties:
- volume (Å³/f.u.) = 209.4
- N(E_F) (states/eV/cell) = 3.02
- DFT total energy (hartree per atom) = -0.208